(1)
{"formula": "Ac2SbPd6Au", "functional": "GGA-PBE", "state": "relaxed", "e_form_raw_kj_per_mol_atoms": -66, "lattice": [[6.2265, -2.7770, 0.0000], [6.2265, 2.7770, 0.0000], [-5.9738, 0.0000, 6.4583]], "species": ["Ac", "Ac", "Sb", "Pd", "Pd", "Pd", "Pd", "Pd", "Pd", "Au"], "fractional_positions": [[0.0246, 0.0246, 0.2894], [0.9754, 0.9754, 0.7106], [0.5000, 0.5000, 0.0000], [0.0033, 0.5124, 0.7408], [0.3269, 0.3269, 0.0794], [0.4876, 0.9967, 0.2592], [0.5124, 0.0033, 0.7408], [0.6731, 0.6731, 0.9206], [0.9967, 0.4876, 0.2592], [0.5000, 0.5000, 0.5000]]}


(2)
{"formula": "Tb5YTl2In", "functional": "GGA-PBE", "state": "relaxed", "ef_ev_per_atom": -0.022, "lattice": [[-3.8260, 3.8260, 9.3494], [3.8260, -3.8260, 9.3494], [3.8260, 3.8260, -9.3494]], "species": ["Tb", "Tb", "Tb", "Tb", "Tb", "Tb", "Tb", "Tb", "Tb", "Tb", "Y", "Y", "Tl", "Tl", "Tl", "Tl", "In", "In"], "fractional_positions": [[0.0000, 0.0000, 0.0000], [0.0767, 0.5767, 0.9182], [0.1585, 0.0767, 0.5000], [0.3415, 0.8415, 0.9182], [0.4233, 0.3415, 0.5000], [0.5000, 0.5000, 0.0000], [0.5767, 0.6585, 0.5000], [0.6585, 0.1585, 0.0818], [0.8415, 0.9233, 0.5000], [0.9233, 0.4233, 0.0818], [0.2500, 0.7500, 0.5000], [0.7500, 0.2500, 0.5000], [0.1276, 0.3724, 0.5000], [0.3724, 0.8724, 0.2448], [0.6276, 0.1276, 0.7552], [0.8724, 0.6276, 0.5000], [0.2500, 0.2500, 0.0000], [0.7500, 0.7500, 0.0000]]}


What did the second record say?
{"formula": "Tb5YTl2In", "functional": "GGA-PBE", "state": "relaxed", "ef_ev_per_atom": -0.022, "lattice": [[-3.8260, 3.8260, 9.3494], [3.8260, -3.8260, 9.3494], [3.8260, 3.8260, -9.3494]], "species": ["Tb", "Tb", "Tb", "Tb", "Tb", "Tb", "Tb", "Tb", "Tb", "Tb", "Y", "Y", "Tl", "Tl", "Tl", "Tl", "In", "In"], "fractional_positions": [[0.0000, 0.0000, 0.0000], [0.0767, 0.5767, 0.9182], [0.1585, 0.0767, 0.5000], [0.3415, 0.8415, 0.9182], [0.4233, 0.3415, 0.5000], [0.5000, 0.5000, 0.0000], [0.5767, 0.6585, 0.5000], [0.6585, 0.1585, 0.0818], [0.8415, 0.9233, 0.5000], [0.9233, 0.4233, 0.0818], [0.2500, 0.7500, 0.5000], [0.7500, 0.2500, 0.5000], [0.1276, 0.3724, 0.5000], [0.3724, 0.8724, 0.2448], [0.6276, 0.1276, 0.7552], [0.8724, 0.6276, 0.5000], [0.2500, 0.2500, 0.0000], [0.7500, 0.7500, 0.0000]]}


Please write out number 2 again, unchanged.
{"formula": "Tb5YTl2In", "functional": "GGA-PBE", "state": "relaxed", "ef_ev_per_atom": -0.022, "lattice": [[-3.8260, 3.8260, 9.3494], [3.8260, -3.8260, 9.3494], [3.8260, 3.8260, -9.3494]], "species": ["Tb", "Tb", "Tb", "Tb", "Tb", "Tb", "Tb", "Tb", "Tb", "Tb", "Y", "Y", "Tl", "Tl", "Tl", "Tl", "In", "In"], "fractional_positions": [[0.0000, 0.0000, 0.0000], [0.0767, 0.5767, 0.9182], [0.1585, 0.0767, 0.5000], [0.3415, 0.8415, 0.9182], [0.4233, 0.3415, 0.5000], [0.5000, 0.5000, 0.0000], [0.5767, 0.6585, 0.5000], [0.6585, 0.1585, 0.0818], [0.8415, 0.9233, 0.5000], [0.9233, 0.4233, 0.0818], [0.2500, 0.7500, 0.5000], [0.7500, 0.2500, 0.5000], [0.1276, 0.3724, 0.5000], [0.3724, 0.8724, 0.2448], [0.6276, 0.1276, 0.7552], [0.8724, 0.6276, 0.5000], [0.2500, 0.2500, 0.0000], [0.7500, 0.7500, 0.0000]]}